Compound: Sc4Pt2Rh
Source: Alexandria via LeMat-Bulk
Functional: PBE
Structure: optimized geometry

The structure belongs to space group R-3m (No. 166, hexagonal axes); the cell edges are 4.5927, 4.5927 and 22.3585 Å and the angles 90.00°, 90.00° and 120.00°. The distinct sites, in fractional coordinates, are Sc at (0.0000, 0.0000, 0.1230), Sc at (0.0000, 0.0000, 0.3738), Pt at (0.0000, 0.0000, 0.2491) and Rh at (0.0000, 0.0000, 0.5000).

The total energy is -7.46 eV/atom. As for the formation energy: -1.07 eV/atom. The calculation puts the spin magnetization at 0.00 μB per atom.